a | Density functional theory data (PBE-GGA) for an optimized crystal structure of TlCuPdS3.

abc: 3.7039 13.3901 9.9165
angles: 90.00 90.00 90.00
Space group Cmcm (No. 63)
Unique sites:
Tl (0.0000, 0.2438, 0.2500) x4
Cu (0.0000, 0.0498, 0.7500) x4
Pd (0.0000, 0.5000, 0.0000) x4
S (0.0000, 0.1145, 0.5380) x8
S (0.0000, 0.4480, 0.7500) x4

=====

b | Density functional theory data (PBE-GGA) for an optimized crystal structure of TlCuPdS3.

abc: 7.4783 3.7238 9.6718
angles: 90.00 110.47 90.00
Space group P2_1/m (No. 11)
Unique sites:
Tl (0.2402, 0.2500, 0.1971) x2
Cu (0.4288, 0.2500, 0.9074) x2
Pd (0.1694, 0.7500, 0.6497) x2
S (0.0527, 0.7500, 0.3833) x2
S (0.2483, 0.7500, 0.9218) x2
S (0.3863, 0.2500, 0.6624) x2

=====

Energies, relative to the best one, in eV/atom: a 0.026; b 0.000.

=====

a | Density functional theory data (PBE-GGA) for an optimized crystal structure of SrCuSb2Pd.

abc: 4.6991 4.6991 10.5828
angles: 90.00 90.00 90.00
Space group P4/nmm (No. 129, origin choice 2)
Unique sites:
Sr (0.2500, 0.2500, 0.2410) x2
Cu (0.2500, 0.2500, 0.6280) x2
Sb (0.2500, 0.2500, 0.8717) x2
Sb (0.2500, 0.7500, 0.5000) x2
Pd (0.2500, 0.7500, 0.0000) x2

=====

b | Density functional theory data (PBE-GGA) for an optimized crystal structure of SrCuSb2Pd.

abc: 4.6196 4.6196 11.0150
angles: 90.00 90.00 90.00
Space group P4/nmm (No. 129, origin choice 2)
Unique sites:
Sr (0.2500, 0.2500, 0.2403) x2
Cu (0.2500, 0.7500, 0.0000) x2
Sb (0.2500, 0.2500, 0.8739) x2
Sb (0.2500, 0.7500, 0.5000) x2
Pd (0.2500, 0.2500, 0.6319) x2

=====

Energies, relative to the best one, in eV/atom: a 0.019; b 0.000.

=====

a | Density functional theory data (PBE-GGA) for an optimized crystal structure of ScCuSiPd.

abc: 6.2101 6.2101 6.2101
angles: 90.00 90.00 90.00
Space group F-43m (No. 216)
Unique sites:
Sc (0.0000, 0.0000, 0.0000) x4
Cu (0.2500, 0.2500, 0.2500) x4
Si (0.0000, 0.0000, 0.5000) x4
Pd (0.2500, 0.2500, 0.7500) x4

=====

b | Density functional theory data (PBE-GGA) for an optimized crystal structure of ScCuSiPd.

abc: 6.2647 6.2647 6.2647
angles: 90.00 90.00 90.00
Space group F-43m (No. 216)
Unique sites:
Sc (0.0000, 0.0000, 0.0000) x4
Cu (0.0000, 0.0000, 0.5000) x4
Si (0.2500, 0.2500, 0.7500) x4
Pd (0.2500, 0.2500, 0.2500) x4

=====

c | Density functional theory data (PBE-GGA) for an optimized crystal structure of ScCuSiPd.

abc: 6.2216 6.2216 6.2216
angles: 90.00 90.00 90.00
Space group F-43m (No. 216)
Unique sites:
Sc (0.0000, 0.0000, 0.0000) x4
Cu (0.2500, 0.2500, 0.2500) x4
Si (0.2500, 0.2500, 0.7500) x4
Pd (0.0000, 0.0000, 0.5000) x4

=====

Energies, relative to the best one, in eV/atom: a 0.000; b 0.135; c 0.048.

=====

a | Density functional theory data (PBE-GGA) for an optimized crystal structure of ScTlCuPd.

abc: 6.5880 6.5880 6.5880
angles: 90.00 90.00 90.00
Space group F-43m (No. 216)
Unique sites:
Sc (0.0000, 0.0000, 0.0000) x4
Tl (0.2500, 0.2500, 0.2500) x4
Cu (0.0000, 0.0000, 0.5000) x4
Pd (0.2500, 0.2500, 0.7500) x4

=====

b | Density functional theory data (PBE-GGA) for an optimized crystal structure of ScTlCuPd.

abc: 6.5675 6.5675 6.5675
angles: 90.00 90.00 90.00
Space group F-43m (No. 216)
Unique sites:
Sc (0.0000, 0.0000, 0.0000) x4
Tl (0.0000, 0.0000, 0.5000) x4
Cu (0.2500, 0.2500, 0.7500) x4
Pd (0.2500, 0.2500, 0.2500) x4

=====

Energies, relative to the best one, in eV/atom: a 0.098; b 0.000.

=====

a | Density functional theory data (PBE-GGA) for an optimized crystal structure of TlCuPdSe3.

abc: 7.7739 3.8656 9.8711
angles: 90.00 109.78 90.00
Space group P2_1/m (No. 11)
Unique sites:
Tl (0.2452, 0.2500, 0.2019) x2
Cu (0.4317, 0.2500, 0.9123) x2
Pd (0.1772, 0.7500, 0.6510) x2
Se (0.0471, 0.7500, 0.3776) x2
Se (0.2415, 0.7500, 0.9289) x2
Se (0.3978, 0.2500, 0.6565) x2

=====

b | Density functional theory data (PBE-GGA) for an optimized crystal structure of TlCuPdSe3.

abc: 3.8417 13.6373 10.3845
angles: 90.00 90.00 90.00
Space group Cmcm (No. 63)
Unique sites:
Tl (0.0000, 0.2505, 0.2500) x4
Cu (0.0000, 0.0570, 0.7500) x4
Pd (0.0000, 0.5000, 0.0000) x4
Se (0.0000, 0.1211, 0.5323) x8
Se (0.0000, 0.4475, 0.7500) x4

=====

Energies, relative to the best one, in eV/atom: a 0.000; b 0.025.

=====

a | Density functional theory data (PBE-GGA) for an optimized crystal structure of TaCuSiPd.

abc: 6.1772 6.1772 6.1772
angles: 90.00 90.00 90.00
Space group F-43m (No. 216)
Unique sites:
Ta (0.0000, 0.0000, 0.0000) x4
Cu (0.2500, 0.2500, 0.7500) x4
Si (0.0000, 0.0000, 0.5000) x4
Pd (0.2500, 0.2500, 0.2500) x4

=====

b | Density functional theory data (PBE-GGA) for an optimized crystal structure of TaCuSiPd.

abc: 6.1861 6.1861 6.1861
angles: 90.00 90.00 90.00
Space group F-43m (No. 216)
Unique sites:
Ta (0.0000, 0.0000, 0.0000) x4
Cu (0.0000, 0.0000, 0.5000) x4
Si (0.2500, 0.2500, 0.2500) x4
Pd (0.2500, 0.2500, 0.7500) x4

=====

Energies, relative to the best one, in eV/atom: a 0.148; b 0.000.

=====

a | Density functional theory data (PBE-GGA) for an optimized crystal structure of ZnCuSiPd.

abc: 6.0226 6.0226 6.0226
angles: 90.00 90.00 90.00
Space group F-43m (No. 216)
Unique sites:
Zn (0.0000, 0.0000, 0.0000) x4
Cu (0.2500, 0.2500, 0.7500) x4
Si (0.0000, 0.0000, 0.5000) x4
Pd (0.2500, 0.2500, 0.2500) x4

=====

b | Density functional theory data (PBE-GGA) for an optimized crystal structure of ZnCuSiPd.

abc: 6.0597 6.0597 6.0597
angles: 90.00 90.00 90.00
Space group F-43m (No. 216)
Unique sites:
Zn (0.0000, 0.0000, 0.0000) x4
Cu (0.0000, 0.0000, 0.5000) x4
Si (0.2500, 0.2500, 0.7500) x4
Pd (0.2500, 0.2500, 0.2500) x4

=====

Energies, relative to the best one, in eV/atom: a 0.000; b 0.147.

=====

a | Density functional theory data (PBE-GGA) for an optimized crystal structure of ZrCuSiPd.

abc: 6.2981 6.2981 6.2981
angles: 90.00 90.00 90.00
Space group F-43m (No. 216)
Unique sites:
Zr (0.0000, 0.0000, 0.0000) x4
Cu (0.2500, 0.2500, 0.7500) x4
Si (0.0000, 0.0000, 0.5000) x4
Pd (0.2500, 0.2500, 0.2500) x4

=====

b | Density functional theory data (PBE-GGA) for an optimized crystal structure of ZrCuSiPd.

abc: 6.3221 6.3221 6.3221
angles: 90.00 90.00 90.00
Space group F-43m (No. 216)
Unique sites:
Zr (0.0000, 0.0000, 0.0000) x4
Cu (0.0000, 0.0000, 0.5000) x4
Si (0.2500, 0.2500, 0.2500) x4
Pd (0.2500, 0.2500, 0.7500) x4

=====

Energies, relative to the best one, in eV/atom: a 0.000; b 0.021.

=====

a | Density functional theory data (PBE-GGA) for an optimized crystal structure of CuSnPdW.

abc: 6.3979 6.3979 6.3979
angles: 90.00 90.00 90.00
Space group F-43m (No. 216)
Unique sites:
Cu (0.0000, 0.0000, 0.0000) x4
Sn (0.2500, 0.2500, 0.7500) x4
Pd (0.0000, 0.0000, 0.5000) x4
W (0.2500, 0.2500, 0.2500) x4

=====

b | Density functional theory data (PBE-GGA) for an optimized crystal structure of CuSnPdW.

abc: 6.4255 6.4255 6.4255
angles: 90.00 90.00 90.00
Space group F-43m (No. 216)
Unique sites:
Cu (0.0000, 0.0000, 0.0000) x4
Sn (0.2500, 0.2500, 0.7500) x4
Pd (0.2500, 0.2500, 0.2500) x4
W (0.0000, 0.0000, 0.5000) x4

=====

Energies, relative to the best one, in eV/atom: a 0.039; b 0.000.

=====

a | Density functional theory data (PBE-GGA) for an optimized crystal structure of SrCuPd.

abc: 6.8638 6.8638 6.8638
angles: 90.00 90.00 90.00
Space group F-43m (No. 216)
Unique sites:
Sr (0.0000, 0.0000, 0.0000) x4
Cu (0.2500, 0.2500, 0.7500) x4
Pd (0.2500, 0.2500, 0.2500) x4

=====

b | Density functional theory data (PBE-GGA) for an optimized crystal structure of SrCuPd.

abc: 6.5929 6.5929 6.5929
angles: 90.00 90.00 90.00
Space group F-43m (No. 216)
Unique sites:
Sr (0.0000, 0.0000, 0.0000) x4
Cu (0.2500, 0.2500, 0.7500) x4
Pd (0.0000, 0.0000, 0.5000) x4

=====

Energies, relative to the best one, in eV/atom: a 0.476; b 0.000.

=====

a | Density functional theory data (PBE-GGA) for an optimized crystal structure of TaCuPd.

abc: 6.0111 6.0111 6.0111
angles: 90.00 90.00 90.00
Space group F-43m (No. 216)
Unique sites:
Ta (0.0000, 0.0000, 0.0000) x4
Cu (0.2500, 0.2500, 0.7500) x4
Pd (0.2500, 0.2500, 0.2500) x4

=====

b | Density functional theory data (PBE-GGA) for an optimized crystal structure of TaCuPd.

abc: 5.9737 5.9737 5.9737
angles: 90.00 90.00 90.00
Space group F-43m (No. 216)
Unique sites:
Ta (0.0000, 0.0000, 0.0000) x4
Cu (0.0000, 0.0000, 0.5000) x4
Pd (0.2500, 0.2500, 0.7500) x4

=====

Energies, relative to the best one, in eV/atom: a 0.149; b 0.000.

=====

a | Density functional theory data (PBE-GGA) for an optimized crystal structure of YCuPd.

abc: 6.5027 6.5027 6.5027
angles: 90.00 90.00 90.00
Space group F-43m (No. 216)
Unique sites:
Y (0.0000, 0.0000, 0.0000) x4
Cu (0.2500, 0.2500, 0.7500) x4
Pd (0.2500, 0.2500, 0.2500) x4

=====

b | Density functional theory data (PBE-GGA) for an optimized crystal structure of YCuPd.

abc: 6.3854 6.3854 6.3854
angles: 90.00 90.00 90.00
Space group F-43m (No. 216)
Unique sites:
Y (0.0000, 0.0000, 0.0000) x4
Cu (0.0000, 0.0000, 0.5000) x4
Pd (0.2500, 0.2500, 0.7500) x4

=====

Energies, relative to the best one, in eV/atom: a 0.366; b 0.000.